1.
{"formula": "Er2MgCd", "functional": "PBE", "state": "optimized geometry", "total_magnetization_mub_per_atom": 0.0435, "lattice": [[5.2101, 0.0000, 0.0000], [0.0000, 5.2101, 0.0000], [0.0000, 0.0000, 3.8051]], "species": ["Er", "Er", "Mg", "Cd"], "fractional_positions": [[0.0000, 0.5000, 0.0000], [0.5000, 0.0000, 0.0000], [0.0000, 0.0000, 0.5000], [0.5000, 0.5000, 0.5000]]}



2.
{"formula": "KW2", "functional": "PBE", "state": "optimized geometry", "de_polymorph_mev_per_atom": 0, "total_magnetization_mub_per_atom": 0.0005, "lattice": [[0.0000, 3.9987, 3.9987], [3.9987, 0.0000, 3.9987], [3.9987, 3.9987, 0.0000]], "species": ["K", "K", "W", "W", "W", "W"], "fractional_positions": [[0.1250, 0.1250, 0.1250], [0.8750, 0.8750, 0.8750], [0.0000, 0.5000, 0.5000], [0.5000, 0.0000, 0.5000], [0.5000, 0.5000, 0.0000], [0.5000, 0.5000, 0.5000]]}



3.
{"formula": "HoBC", "functional": "PBE", "state": "optimized geometry", "total_magnetization_mub_per_atom": 0.0005, "lattice": [[1.6791, -8.3681, 0.0000], [1.6791, 8.3681, 0.0000], [0.0000, 0.0000, 3.4952]], "species": ["Ho", "Ho", "B", "B", "C", "C"], "fractional_positions": [[0.1434, 0.8566, 0.0000], [0.8566, 0.1434, 0.0000], [0.2802, 0.7198, 0.5000], [0.7198, 0.2802, 0.5000], [0.3694, 0.6306, 0.5000], [0.6306, 0.3694, 0.5000]]}



4.
{"formula": "TbYIr", "functional": "PBE", "state": "optimized geometry", "formation_enthalpy_0k_ev_per_atom": 0.2140, "total_magnetization_mub_per_atom": 0.0005, "lattice": [[0.0000, 3.3331, 3.3331], [3.3331, 0.0000, 3.3331], [3.3331, 3.3331, 0.0000]], "species": ["Tb", "Y", "Ir"], "fractional_positions": [[0.0000, 0.0000, 0.0000], [0.7500, 0.7500, 0.7500], [0.5000, 0.5000, 0.5000]]}



5.
{"formula": "CsIrAuSe2S", "functional": "PBE", "state": "optimized geometry", "total_magnetization_mub_per_atom": 0.0009, "lattice": [[1.9610, -9.1837, 0.0000], [1.9610, 9.1837, 0.0000], [0.0000, 0.0000, 9.4009]], "species": ["Cs", "Cs", "Ir", "Ir", "Au", "Au", "Se", "Se", "Se", "Se", "S", "S"], "fractional_positions": [[0.2302, 0.7698, 0.7500], [0.7698, 0.2302, 0.2500], [0.5000, 0.5000, 0.0000], [0.5000, 0.5000, 0.5000], [0.1126, 0.8874, 0.2500], [0.8874, 0.1126, 0.7500], [0.0906, 0.9094, 0.5031], [0.0906, 0.9094, 0.9969], [0.9094, 0.0906, 0.0031], [0.9094, 0.0906, 0.4969], [0.4677, 0.5323, 0.2500], [0.5323, 0.4677, 0.7500]]}



6.
{"formula": "PrNd2Er3Te2Pd", "functional": "PBE", "state": "optimized geometry", "total_magnetization_mub_per_atom": 0.0023, "lattice": [[4.0556, 0.0000, 0.0000], [0.0000, 7.3634, 4.2484], [0.0000, -7.3634, 4.2484]], "species": ["Pr", "Nd", "Nd", "Er", "Er", "Er", "Te", "Te", "Pd"], "fractional_positions": [[0.0000, 0.0000, 0.0000], [0.0000, 0.4052, 0.8104], [0.0000, 0.8104, 0.4052], [0.5000, 0.1638, 0.4052], [0.5000, 0.4052, 0.1638], [0.5000, 0.6466, 0.6466], [0.5000, 0.0720, 0.7383], [0.5000, 0.7383, 0.0720], [0.0000, 0.4054, 0.4054]]}



Total energy, record by record: -3.087; -7.367; -6.874; -6.436; -4.276; -5.246 eV/atom